Below is an optimized crystal structure of LiGdCuPb, with properties calculated at the PBE-GGA level.

Its formation energy is -0.26 eV per atom. As for the volume: 20.11 Å³ per atom. As for the total magnetic moment: 28.078 Bohr magnetons per cell.

The space group is F-43m (No. 216) and the conventional cell measures 6.853, 6.853 and 6.853 Å, with angles of 90.00, 90.00 and 90.00 degrees. The inequivalent atoms are Li at (0.000, 0.000, 0.000), Gd at (0.250, 0.250, 0.250), Cu at (0.000, 0.000, 0.500) and Pb at (0.250, 0.250, 0.750).

Below is an optimized crystal structure of Ca2SeCl, with properties calculated at the PBE-GGA level.

Its energy above the most stable polymorph in this dataset is 0.211 eV/atom. As for the volume: 28.76 Å³ per atom. As for the total magnetic moment: 1.368 Bohr magnetons per cell.

The space group is Immm (No. 71) and the conventional cell measures 4.050, 7.019 and 8.092 Å, with angles of 90.00, 90.00 and 90.00 degrees. The inequivalent atoms are Ca at (0.000, 0.000, 0.250), Se at (0.000, 0.500, 0.000) and Cl at (0.000, 0.500, 0.500).

Below is an optimized crystal structure of KTlO, with properties calculated at the PBE-GGA level.

As for the volume: 23.71 Å³ per atom. The total energy is -22.46 eV/cell. As for the total magnetic moment: 0.000 Bohr magnetons per cell.

The space group is Cm (No. 8) and the conventional cell measures 6.399, 3.696 and 6.014 Å, with angles of 90.00, 90.07 and 90.00 degrees. The inequivalent atoms are K at (0.000, 0.000, 0.000), Tl at (0.334, 0.000, 0.476) and O at (0.167, 0.500, 0.255).

Below is an optimized crystal structure of TcAg, with properties calculated at the PBE-GGA level.

Its energy above the most stable polymorph in this dataset is 0.340 eV/atom. Its formation energy is 0.51 eV per atom. As for the volume: 16.08 Å³ per atom. As for the total magnetic moment: 0.000 Bohr magnetons per cell.

The space group is Pmma (No. 51) and the conventional cell measures 4.606, 2.637 and 5.296 Å, with angles of 90.00, 90.00 and 90.00 degrees. The inequivalent atoms are Tc at (0.250, 0.000, 0.116) and Ag at (0.250, 0.500, 0.635).

Below is an optimized crystal structure of Pa3Ga6Ni5, with properties calculated at the PBE-GGA level.

Its formation energy is -0.46 eV per atom. As for the volume: 16.34 Å³ per atom. As for the total magnetic moment: 0.000 Bohr magnetons per cell.

The space group is Pmmn (No. 59, origin choice 2) and the conventional cell measures 4.119, 12.404 and 8.956 Å, with angles of 90.00, 90.00 and 90.00 degrees. The inequivalent atoms are Pa at (0.250, 0.049, 0.248), Pa at (0.250, 0.750, 0.265), Ga at (0.250, 0.078, 0.593), Ga at (0.250, 0.250, 0.037), Ga at (0.250, 0.250, 0.428), Ga at (0.250, 0.600, 0.980), Ni at (0.250, 0.094, 0.864), Ni at (0.250, 0.633, 0.542) and Ni at (0.250, 0.750, 0.779).

Below is an optimized crystal structure of Ca2YMgIr, with properties calculated at the PBE-GGA level.

Its formation energy is -0.20 eV per atom. As for the volume: 32.92 Å³ per atom. As for the total magnetic moment: 0.000 Bohr magnetons per cell.

The space group is P4/mmm (No. 123) and the conventional cell measures 5.544, 5.544 and 5.355 Å, with angles of 90.00, 90.00 and 90.00 degrees. The inequivalent atoms are Ca at (0.000, 0.500, 0.000), Y at (0.000, 0.000, 0.500), Mg at (0.500, 0.500, 0.500) and Ir at (0.000, 0.000, 0.000).

Below is an optimized crystal structure of MgMnBr2, with properties calculated at the PBE-GGA level.

Its energy above the most stable polymorph in this dataset is 0.419 eV/atom. As for the volume: 24.52 Å³ per atom. As for the total magnetic moment: 7.904 Bohr magnetons per cell.

The space group is C2/m (No. 12) and the conventional cell measures 7.090, 8.563 and 3.695 Å, with angles of 90.00, 119.02 and 90.00 degrees. The inequivalent atoms are Mg at (0.000, 0.000, 0.000), Mn at (0.000, 0.500, 0.000) and Br at (0.250, 0.250, 0.000).

Below is an optimized crystal structure of KCoI2N, with properties calculated at the PBE-GGA level.

Its energy above the most stable polymorph in this dataset is 1.460 eV/atom. As for the volume: 42.05 Å³ per atom. As for the total magnetic moment: 5.117 Bohr magnetons per cell.

The space group is P4/mmm (No. 123) and the conventional cell measures 6.452, 6.452 and 5.050 Å, with angles of 90.00, 90.00 and 90.00 degrees. The inequivalent atoms are K at (0.000, 0.000, 0.000), Co at (0.500, 0.500, 0.500), I at (0.000, 0.500, 0.000) and N at (0.000, 0.000, 0.500).

Below is an optimized crystal structure of KHfSb2I, with properties calculated at the PBE-GGA level.

Its energy above the most stable polymorph in this dataset is 0.000 eV/atom. As for the volume: 37.84 Å³ per atom. As for the total magnetic moment: 0.000 Bohr magnetons per cell.

The space group is P4/mmm (No. 123) and the conventional cell measures 5.503, 5.503 and 6.247 Å, with angles of 90.00, 90.00 and 90.00 degrees. The inequivalent atoms are K at (0.000, 0.000, 0.000), Hf at (0.500, 0.500, 0.500), Sb at (0.000, 0.500, 0.500) and I at (0.500, 0.500, 0.000).

Below is an optimized crystal structure of CsRb6Na5, with properties calculated at the PBE-GGA level.

Its formation energy is 0.04 eV per atom. As for the volume: 67.01 Å³ per atom. As for the total magnetic moment: 0.000 Bohr magnetons per cell.

The space group is Cmmm (No. 65) and the conventional cell measures 7.238, 21.823 and 10.180 Å, with angles of 90.00, 90.00 and 90.00 degrees. The inequivalent atoms are Cs at (0.000, 0.000, 0.000), Rb at (0.000, 0.177, 0.263), Rb at (0.000, 0.500, 0.274), Na at (0.000, 0.000, 0.500), Na at (0.000, 0.340, 0.500) and Na at (0.000, 0.341, 0.000).

Below is an optimized crystal structure of ZrCoHg2, with properties calculated at the PBE-GGA level.

Its formation energy is 0.14 eV per atom. As for the volume: 18.75 Å³ per atom. As for the total magnetic moment: 2.180 Bohr magnetons per cell.

The space group is I-4m2 (No. 119) and the conventional cell measures 4.373, 4.373 and 7.842 Å, with angles of 90.00, 90.00 and 90.00 degrees. The inequivalent atoms are Zr at (0.000, 0.000, 0.000), Co at (0.000, 0.500, 0.750), Hg at (0.000, 0.000, 0.500) and Hg at (0.000, 0.500, 0.250).

Below is an optimized crystal structure of Mo2PtSe, with properties calculated at the PBE-GGA level.

As for the volume: 15.82 Å³ per atom. The total energy is -92.46 eV/cell. As for the total magnetic moment: 0.000 Bohr magnetons per cell.

The space group is R-3m (No. 166, hexagonal axes) and the conventional cell measures 2.9216, 2.9216 and 25.6855 Å, with angles of 90.00, 90.00 and 120.00 degrees. The inequivalent atoms are Mo at (0.0000, 0.0000, 0.2459), Pt at (0.0000, 0.0000, 0.0000) and Se at (0.0000, 0.0000, 0.5000).